Record 1
Compound: Th4ZnAu
Source: Alexandria
Functional: GGA-PBE
Structure: relaxed

Properties
Its energy relative to the elements is -0.270 eV/atom. As for the symmetry: P4/mcc (124).

Structure (POSCAR):
```
Th4ZnAu
1.0
7.556 0.000 0.000
0.000 7.556 0.000
0.000 0.000 5.784
Th Zn Au
8 2 2
direct
0.156 0.341 0.000
0.156 0.659 0.500
0.341 0.156 0.500
0.341 0.844 0.000
0.659 0.156 0.000
0.659 0.844 0.500
0.844 0.341 0.500
0.844 0.659 0.000
0.000 0.000 0.250
0.000 0.000 0.750
0.500 0.500 0.250
0.500 0.500 0.750
```



Record 2
Compound: AcY3Sn3
Source: Alexandria
Functional: GGA-PBE
Structure: relaxed

Properties
Its energy relative to the elements is -0.558 eV/atom. As for the symmetry: P6_3/m (176).

Structure (POSCAR):
```
AcY3Sn3
1.0
9.457 0.000 0.000
-4.728 8.190 0.000
0.000 0.000 5.479
Ac Y Sn
2 6 6
direct
0.333 0.667 0.250
0.667 0.333 0.750
0.000 0.238 0.250
0.000 0.762 0.750
0.238 0.000 0.250
0.238 0.238 0.750
0.762 0.000 0.750
0.762 0.762 0.250
0.071 0.441 0.750
0.370 0.929 0.750
0.441 0.370 0.250
0.559 0.630 0.750
0.630 0.071 0.250
0.929 0.559 0.250
```



Record 3
Compound: GdScFe
Source: Alexandria
Functional: GGA-PBE
Structure: relaxed

Properties
Its energy relative to the elements is 0.004 eV/atom. As for the symmetry: I4mm (107).

Structure (POSCAR):
```
GdScFe
1.0
3.229 0.000 0.000
0.000 3.229 0.000
0.000 0.000 12.324
Gd Sc Fe
2 2 2
direct
0.000 0.000 0.000
0.500 0.500 0.500
0.000 0.000 0.746
0.500 0.500 0.246
0.000 0.000 0.360
0.500 0.500 0.860
```